Entry from the Alexandria database: an optimized crystal structure of Ac2NdSe3 (PBE).

Properties
Formation energy (no corrections)   -1.851 eV per atom
DOS at the Fermi energy   2.99 states/eV/f.u.
Theoretical density   7.7 g/cm³
Raw total energy   -5.7574 eV per atom
Spin magnetization   0.00 μB/cell

Cell: 14.4329 13.7613 7.6278 Å, 79.23 69.50 31.28°
Element x y z (fractional)
Ac: 0.0428 0.0428 0.2072
Ac: 0.1240 0.1240 0.6260
Ac: 0.2072 0.2072 0.0428
Ac: 0.3740 0.3740 0.8760
Ac: 0.6260 0.6260 0.1240
Ac: 0.7928 0.7928 0.9572
Ac: 0.8760 0.8760 0.3740
Ac: 0.9572 0.9572 0.7928
Nd: 0.2917 0.2917 0.4583
Nd: 0.4583 0.4583 0.2917
Nd: 0.5417 0.5417 0.7083
Nd: 0.7083 0.7083 0.5417
Se: 0.0393 0.5402 0.2208
Se: 0.1370 0.6130 0.6130
Se: 0.2208 0.6997 0.0393
Se: 0.3003 0.7792 0.4598
Se: 0.3870 0.8630 0.8630
Se: 0.4598 0.9607 0.3003
Se: 0.5402 0.0393 0.6997
Se: 0.6130 0.1370 0.1370
Se: 0.6997 0.2208 0.5402
Se: 0.7792 0.3003 0.9607
Se: 0.8630 0.3870 0.3870
Se: 0.9607 0.4598 0.7792